No. 1
A relaxed structure of LaPPtO, computed with GGA-PBE.

Unit cell a=4.753 b=4.161 c=7.137 alpha=90.00 beta=90.00 gamma=90.00
Atoms (fractional coordinates):
La (0.000, 0.249, 0.000)
La (0.000, 0.751, 0.500)
P (0.500, 0.249, 0.671)
P (0.500, 0.751, 0.171)
Pt (0.500, 0.251, 0.336)
Pt (0.500, 0.749, 0.836)
O (0.000, 0.251, 0.335)
O (0.000, 0.749, 0.835)

E above lowest polymorph = 331 meV per atom
volume = 17.64 Å³/atom
E_tot = -6.94 eV/atom


No. 2
A relaxed structure of LaPPtO, computed with GGA-PBE.

Unit cell a=6.573 b=6.573 c=4.340 alpha=90.00 beta=90.00 gamma=90.00
Atoms (fractional coordinates):
La (0.250, 0.750, 0.000)
La (0.750, 0.250, 0.000)
P (0.250, 0.250, 0.053)
P (0.750, 0.750, 0.947)
Pt (0.250, 0.250, 0.555)
Pt (0.750, 0.750, 0.445)
O (0.250, 0.750, 0.500)
O (0.750, 0.250, 0.500)

E above lowest polymorph = 763 meV per atom
volume = 23.44 Å³/atom
E_tot = -6.51 eV/atom


No. 3
A relaxed structure of LaPPtO, computed with GGA-PBE.

Unit cell a=6.581 b=6.581 c=4.346 alpha=90.00 beta=90.00 gamma=90.00
Atoms (fractional coordinates):
La (0.250, 0.750, 0.000)
La (0.750, 0.250, 0.000)
P (0.250, 0.250, 0.495)
P (0.750, 0.750, 0.505)
Pt (0.250, 0.250, 0.995)
Pt (0.750, 0.750, 0.005)
O (0.250, 0.750, 0.500)
O (0.750, 0.250, 0.500)

E above lowest polymorph = 615 meV per atom
volume = 23.53 Å³/atom
E_tot = -6.66 eV/atom


No. 4
A relaxed structure of LaRePO, computed with GGA-PBE.

Unit cell a=4.343 b=4.281 c=7.113 alpha=90.00 beta=90.00 gamma=90.00
Atoms (fractional coordinates):
La (0.000, 0.222, 0.000)
La (0.000, 0.778, 0.500)
Re (0.500, 0.284, 0.341)
Re (0.500, 0.716, 0.841)
P (0.500, 0.219, 0.677)
P (0.500, 0.781, 0.177)
O (0.000, 0.281, 0.338)
O (0.000, 0.719, 0.838)

E above lowest polymorph = 513 meV per atom
volume = 16.53 Å³/atom
E_tot = -8.21 eV/atom


These records have magnetization values of 0.01; 0.11; 0.04; 0.02 μB per formula unit, in the order they appear.